Record 1
The following is a DFT calculation (PBE) of a geometry-optimized Pr2BeC structure.

Structure (extended XYZ):
```
8
Lattice="-3.203 -1.042 -0.810 -0.362 -3.818 6.343 -0.952 7.097 2.041" Properties=species:S:1:pos:R:3 pbc="T T T"
Pr -0.855 -0.477 3.995
Pr -3.662 2.714 3.579
Pr -0.674 1.432 0.823
Pr -3.843 0.805 6.750
Be -1.693 -1.476 1.180
Be -1.872 -3.385 4.352
C -3.474 -3.906 3.947
C -0.091 -0.955 1.586
```

Properties
N(E_F) = 2.7 states/eV/f.u.
SG = C2/m, No. 12
Formation enthalpy at 0 K = -2.07 kcal/mol of atoms


Record 2
The following is a DFT calculation (PBE) of a geometry-optimized PrBeC structure.

Structure (extended XYZ):
```
3
Lattice="4.098 0.000 0.000 0.000 3.424 0.000 0.000 -1.712 2.965" Properties=species:S:1:pos:R:3 pbc="T T T"
Pr 2.732 0.000 1.977
Be 0.683 1.712 0.988
C 0.683 0.000 0.000
```

Properties
N(E_F) = 1.2 states/eV/f.u.
SG = P-6m2, No. 187
Formation enthalpy at 0 K = 0.05 kcal/mol of atoms


Record 3
The following is a DFT calculation (PBE) of a geometry-optimized Pr2Be2Ru2C structure.

Structure (extended XYZ):
```
7
Lattice="-1.473 -3.250 -1.971 4.456 -2.920 -2.730 0.910 -4.875 3.143" Properties=species:S:1:pos:R:3 pbc="T T T"
Pr 0.619 -5.742 0.574
Pr 3.275 -5.304 -2.133
Be 1.660 -2.909 -0.659
Be 2.234 -8.136 -0.899
Ru 3.614 -7.091 0.561
Ru 0.280 -3.954 -2.119
C 0.000 0.000 0.000
```

Properties
N(E_F) = 5.8 states/eV/f.u.
SG = C2/m, No. 12
Formation enthalpy at 0 K = -4.70 kcal/mol of atoms


Record 4
The following is a DFT calculation (PBE) of a geometry-optimized BePtC2 structure.

Structure (extended XYZ):
```
8
Lattice="-1.038 2.592 -3.401 -2.804 -3.055 -1.472 -5.285 1.665 0.036" Properties=species:S:1:pos:R:3 pbc="T T T"
Be -1.921 -0.231 -2.436
Be -5.005 -0.811 -1.936
C -2.296 1.594 -2.221
C -3.228 -1.109 -1.415
C -5.470 1.004 -1.835
C -7.260 0.915 -4.202
Pt 0.000 0.000 0.000
Pt -4.122 2.013 -2.900
```

Properties
N(E_F) = 1.5 states/eV/f.u.
SG = I-42d, No. 122
Formation enthalpy at 0 K = 23.01 kcal/mol of atoms


N(E_F) of number 3 (Pr2Be2Ru2C)?
5.8 states/eV/f.u.


Among the records above, which one has the lowest N(E_F)?
PrBeC